An optimized crystal structure of BaAlI2O. Source: Alexandria, functional PBE.

symmetry	No. 123
total energy	-3.343	eV per atom
distance to the lowest polymorph of the same formula	723	meV/atom
formation energy without anion corrections	-0.60	eV per atom

a b c (Å): 6.867 6.867 4.546
angles (deg): 90.00 90.00 90.00
Atoms (fractional coordinates):
Ba (0.000, 0.000, 0.000)
Al (0.500, 0.500, 0.500)
I (0.000, 0.500, 0.000)
I (0.500, 0.000, 0.000)
O (0.000, 0.000, 0.500)

---

An optimized crystal structure of NiAg3Pb. Source: Alexandria, functional PBE.

symmetry	No. 221
total energy	-3.070	eV per atom
distance to the lowest polymorph of the same formula	0	meV/atom
formation energy from the elements	538	meV/atom

a b c (Å): 4.850 4.850 4.850
angles (deg): 90.00 90.00 90.00
Atoms (fractional coordinates):
Ni (0.000, 0.000, 0.000)
Ag (0.000, 0.000, 0.500)
Ag (0.000, 0.500, 0.000)
Ag (0.500, 0.000, 0.000)
Pb (0.500, 0.500, 0.500)

---

An optimized crystal structure of CaLa2Co. Source: Alexandria, functional PBE.

symmetry	No. 38
total energy	-4.696	eV per atom
distance to the lowest polymorph of the same formula	115	meV/atom
formation energy from the elements	45	meV/atom

a b c (Å): 3.771 4.285 16.066
angles (deg): 90.00 90.00 90.00
Atoms (fractional coordinates):
Ca (0.000, 0.000, 0.000)
Ca (0.000, 0.500, 0.500)
La (0.000, 0.000, 0.322)
La (0.000, 0.500, 0.822)
La (0.500, 0.000, 0.670)
La (0.500, 0.500, 0.170)
Co (0.500, 0.000, 0.827)
Co (0.500, 0.500, 0.327)

---

An optimized crystal structure of Co3Ir. Source: Alexandria, functional PBE.

symmetry	No. 44
total energy	-7.539	eV per atom
formation energy from the elements	6	meV/atom

a b c (Å): 2.610 8.267 4.450
angles (deg): 90.00 90.00 90.00
Atoms (fractional coordinates):
Co (0.000, 0.000, 0.000)
Co (0.000, 0.253, 0.662)
Co (0.000, 0.747, 0.662)
Co (0.500, 0.247, 0.162)
Co (0.500, 0.500, 0.500)
Co (0.500, 0.753, 0.162)
Ir (0.000, 0.500, 0.003)
Ir (0.500, 0.000, 0.503)

---

An optimized crystal structure of Mg3ZrSc2. Source: Alexandria, functional PBE.

symmetry	No. 123
total energy	-4.331	eV per atom
formation energy from the elements	2	meV/atom

a b c (Å): 3.521 3.521 11.009
angles (deg): 90.00 90.00 90.00
Atoms (fractional coordinates):
Mg (0.000, 0.000, 0.000)
Mg (0.000, 0.000, 0.337)
Mg (0.000, 0.000, 0.663)
Zr (0.500, 0.500, 0.500)
Sc (0.500, 0.500, 0.174)
Sc (0.500, 0.500, 0.826)

---

An optimized crystal structure of MgTaH. Source: Alexandria, functional PBE.

symmetry	No. 187
total energy	-5.336	eV per atom
distance to the lowest polymorph of the same formula	321	meV/atom

a b c (Å): 3.008 3.008 10.579
angles (deg): 90.00 90.00 120.00
Atoms (fractional coordinates):
Mg (0.000, 0.000, 0.142)
Mg (0.000, 0.000, 0.858)
Ta (0.667, 0.333, 0.368)
Ta (0.667, 0.333, 0.632)
H (0.333, 0.667, 0.000)
H (0.333, 0.667, 0.500)

---

An optimized crystal structure of Sr6ZnN. Source: Alexandria, functional PBE.

symmetry	No. 12
total energy	-2.655	eV per atom
formation energy without anion corrections	-0.19	eV per atom

a b c (Å): 7.594 12.294 7.143
angles (deg): 90.00 104.81 90.00
Atoms (fractional coordinates):
Sr (0.180, 0.152, 0.239)
Sr (0.180, 0.848, 0.239)
Sr (0.245, 0.500, 0.192)
Sr (0.255, 0.000, 0.808)
Sr (0.320, 0.348, 0.761)
Sr (0.320, 0.652, 0.761)
Sr (0.680, 0.348, 0.239)
Sr (0.680, 0.652, 0.239)
Sr (0.745, 0.000, 0.192)
Sr (0.755, 0.500, 0.808)
Sr (0.820, 0.152, 0.761)
Sr (0.820, 0.848, 0.761)
Zn (0.000, 0.500, 0.500)
Zn (0.500, 0.000, 0.500)
N (0.000, 0.000, 0.000)
N (0.500, 0.500, 0.000)

---

An optimized crystal structure of MgCrGaPt. Source: Alexandria, functional PBE.

symmetry	No. 216
total energy	-5.422	eV per atom
formation energy from the elements	-350	meV/atom

a b c (Å): 6.252 6.252 6.252
angles (deg): 90.00 90.00 90.00
Atoms (fractional coordinates):
Mg (0.000, 0.000, 0.000)
Mg (0.000, 0.500, 0.500)
Mg (0.500, 0.000, 0.500)
Mg (0.500, 0.500, 0.000)
Cr (0.250, 0.250, 0.750)
Cr (0.250, 0.750, 0.250)
Cr (0.750, 0.250, 0.250)
Cr (0.750, 0.750, 0.750)
Ga (0.000, 0.000, 0.500)
Ga (0.000, 0.500, 0.000)
Ga (0.500, 0.000, 0.000)
Ga (0.500, 0.500, 0.500)
Pt (0.250, 0.250, 0.250)
Pt (0.250, 0.750, 0.750)
Pt (0.750, 0.250, 0.750)
Pt (0.750, 0.750, 0.250)

---

An optimized crystal structure of Be2Co. Source: Alexandria, functional PBE.

symmetry	No. 69
total energy	-4.875	eV per atom
formation energy from the elements	-22	meV/atom

a b c (Å): 2.676 3.801 10.599
angles (deg): 90.00 90.00 90.00
Atoms (fractional coordinates):
Be (0.000, 0.000, 0.165)
Be (0.000, 0.000, 0.835)
Be (0.000, 0.500, 0.335)
Be (0.000, 0.500, 0.665)
Be (0.500, 0.000, 0.335)
Be (0.500, 0.000, 0.665)
Be (0.500, 0.500, 0.165)
Be (0.500, 0.500, 0.835)
Co (0.000, 0.000, 0.500)
Co (0.000, 0.500, 0.000)
Co (0.500, 0.000, 0.000)
Co (0.500, 0.500, 0.500)

---

An optimized crystal structure of YAlO2F. Source: Alexandria, functional PBE.

symmetry	No. 123
total energy	-7.111	eV per atom
formation energy without anion corrections	-2.71	eV per atom

a b c (Å): 3.782 3.782 3.823
angles (deg): 90.00 90.00 90.00
Atoms (fractional coordinates):
Y (0.000, 0.000, 0.000)
Al (0.500, 0.500, 0.500)
O (0.000, 0.500, 0.500)
O (0.500, 0.000, 0.500)
F (0.500, 0.500, 0.000)

---

An optimized crystal structure of Pm3Er4Tm5. Source: Alexandria, functional PBE.

symmetry	No. 2
total energy	-4.550	eV per atom
distance to the lowest polymorph of the same formula	0	meV/atom
formation energy from the elements	22	meV/atom

a b c (Å): 6.116 7.068 8.650
angles (deg): 89.94 89.86 89.86
Atoms (fractional coordinates):
Pm (0.000, 0.000, 0.000)
Pm (0.167, 0.251, 0.334)
Pm (0.833, 0.749, 0.666)
Er (0.169, 0.749, 0.333)
Er (0.333, 0.500, 0.668)
Er (0.667, 0.500, 0.332)
Er (0.831, 0.251, 0.667)
Tm (0.000, 0.500, 0.000)
Tm (0.335, 0.000, 0.668)
Tm (0.499, 0.749, 0.000)
Tm (0.501, 0.251, 0.000)
Tm (0.665, 0.000, 0.332)

---

An optimized crystal structure of TmB2O4. Source: Alexandria, functional PBE.

symmetry	No. 139
total energy	-7.863	eV per atom
distance to the lowest polymorph of the same formula	0	meV/atom
formation energy without anion corrections	-2.48	eV per atom

a b c (Å): 6.635 6.635 4.048
angles (deg): 90.00 90.00 90.00
Atoms (fractional coordinates):
Tm (0.000, 0.000, 0.000)
Tm (0.500, 0.500, 0.500)
B (0.000, 0.500, 0.250)
B (0.000, 0.500, 0.750)
B (0.500, 0.000, 0.250)
B (0.500, 0.000, 0.750)
O (0.000, 0.336, 0.000)
O (0.000, 0.664, 0.000)
O (0.164, 0.500, 0.500)
O (0.336, 0.000, 0.000)
O (0.500, 0.164, 0.500)
O (0.500, 0.836, 0.500)
O (0.664, 0.000, 0.000)
O (0.836, 0.500, 0.500)